(1)
Tb6Pr2SmY | PBE | relaxed

Values from the calculation:
Its space-group type is C2/c, No. 15. As for the volume: 668.3 Å³/cell. For the final energy, the calculation gives -94.8 eV for the cell shown. The value obtained for the spin magnetization is 0.00 μB per formula unit. Its formation energy is 0.113 eV per atom.

abc: 8.850 8.850 9.814
angles: 94.64 94.64 118.29
Sites, in units of the cell vectors:
1 Tb 0.022 0.575 0.187
2 Tb 0.123 0.742 0.557
3 Tb 0.258 0.877 0.943
4 Tb 0.294 0.505 0.380
5 Tb 0.425 0.978 0.313
6 Tb 0.495 0.706 0.120
7 Tb 0.505 0.294 0.880
8 Tb 0.575 0.022 0.687
9 Tb 0.706 0.495 0.620
10 Tb 0.742 0.123 0.057
11 Tb 0.877 0.258 0.443
12 Tb 0.978 0.425 0.813
13 Pr 0.194 0.296 0.042
14 Pr 0.296 0.194 0.542
15 Pr 0.704 0.806 0.458
16 Pr 0.806 0.704 0.958
17 Sm 0.017 0.983 0.250
18 Sm 0.983 0.017 0.750
19 Y 0.407 0.593 0.750
20 Y 0.593 0.407 0.250

---

(2)
SbHO2F | PBE | relaxed

Values from the calculation:
Its space-group type is P4/mmm, No. 123. As for the volume: 44.1 Å³/cell. For the final energy, the calculation gives -21.0 eV for the cell shown. The value obtained for the spin magnetization is 0.56 μB per formula unit.

abc: 3.684 3.684 3.248
angles: 90.00 90.00 90.00
Sites, in units of the cell vectors:
1 Sb 0.000 0.000 0.000
2 H 0.500 0.500 0.500
3 O 0.000 0.500 0.500
4 O 0.500 0.000 0.500
5 F 0.500 0.500 0.000

---

(3)
K2RbUSe4 | PBE | relaxed

Values from the calculation:
Its space-group type is P2/m, No. 10. As for the volume: 272.3 Å³/cell. For the final energy, the calculation gives -38.0 eV for the cell shown. The value obtained for the spin magnetization is 1.00 μB per formula unit.

abc: 8.010 4.383 8.251
angles: 90.00 109.95 90.00
Sites, in units of the cell vectors:
1 K 0.000 0.000 0.000
2 K 0.000 0.500 0.500
3 Rb 0.500 0.000 0.500
4 U 0.500 0.500 0.000
5 Se 0.294 0.500 0.194
6 Se 0.295 0.000 0.800
7 Se 0.705 0.000 0.200
8 Se 0.706 0.500 0.806

---

(4)
RbTi2Br | PBE | relaxed

Values from the calculation:
Its space-group type is Fm-3m, No. 225. As for the volume: 375.0 Å³/cell. The energy above the most stable polymorph in this dataset comes out at 724 meV per atom. For the final energy, the calculation gives -52.9 eV for the cell shown. The value obtained for the spin magnetization is 0.00 μB per formula unit.

abc: 7.211 7.211 7.211
angles: 90.00 90.00 90.00
Sites, in units of the cell vectors:
1 Rb 0.000 0.000 0.000
2 Rb 0.000 0.500 0.500
3 Rb 0.500 0.000 0.500
4 Rb 0.500 0.500 0.000
5 Ti 0.250 0.250 0.250
6 Ti 0.250 0.250 0.750
7 Ti 0.250 0.750 0.250
8 Ti 0.250 0.750 0.750
9 Ti 0.750 0.250 0.250
10 Ti 0.750 0.250 0.750
11 Ti 0.750 0.750 0.250
12 Ti 0.750 0.750 0.750
13 Br 0.000 0.000 0.500
14 Br 0.000 0.500 0.000
15 Br 0.500 0.000 0.000
16 Br 0.500 0.500 0.500

---

(5)
HfBeIr2 | PBE | relaxed

Values from the calculation:
Its space-group type is P4/mmm, No. 123. As for the volume: 58.4 Å³/cell. For the final energy, the calculation gives -34.3 eV for the cell shown. The value obtained for the spin magnetization is 0.00 μB per formula unit. Its formation energy is -0.735 eV per atom.

abc: 3.142 3.142 5.913
angles: 90.00 90.00 90.00
Sites, in units of the cell vectors:
1 Hf 0.000 0.000 0.000
2 Be 0.000 0.000 0.500
3 Ir 0.500 0.500 0.274
4 Ir 0.500 0.500 0.726

---

(6)
La2TaW | PBE | relaxed

Values from the calculation:
Its space-group type is R-3m, No. 166. As for the volume: 280.9 Å³/cell. The energy above the most stable polymorph in this dataset comes out at 630 meV per atom. For the final energy, the calculation gives -92.7 eV for the cell shown. The value obtained for the spin magnetization is 0.00 μB per formula unit. Its formation energy is 0.942 eV per atom.

abc: 3.079 3.079 34.216
angles: 90.00 90.00 120.00
Sites, in units of the cell vectors:
1 La 0.000 0.000 0.248
2 La 0.000 0.000 0.752
3 La 0.333 0.667 0.418
4 La 0.333 0.667 0.915
5 La 0.667 0.333 0.085
6 La 0.667 0.333 0.582
7 Ta 0.000 0.000 0.000
8 Ta 0.333 0.667 0.667
9 Ta 0.667 0.333 0.333
10 W 0.000 0.000 0.500
11 W 0.333 0.667 0.167
12 W 0.667 0.333 0.833

---

Among the records above, which one has the highest final energy? SbHO2F

---

The highest final energy belongs to which entry? SbHO2F

---

Which value of final energy does entry 6 give? -92.7 eV for the cell shown

---

final energy of number 1 (Tb6Pr2SmY)? -94.8 eV for the cell shown